This record from Alexandria describes an optimized crystal structure of SrNdFe2O5. The functional is PBE with a Hubbard U.

a = 3.9817 Å, b = 3.9817 Å, c = 7.6275 Å
α = 90.00°, β = 90.00°, γ = 90.00°
With the nearest neighbours (Å) after each atom.
Element x y z (fractional)
Sr 0.0000 0.0000 0.0000  12 O 2.82-3.04
Nd 0.0000 0.0000 0.5000  8 O 2.50
Fe 0.5000 0.5000 0.2609  5 O 1.99-2.01
Fe 0.5000 0.5000 0.7391  5 O 1.99-2.01
O 0.0000 0.5000 0.3014  2 Fe 2.01
O 0.0000 0.5000 0.6986  2 Fe 2.01
O 0.5000 0.0000 0.3014  2 Fe 2.01
O 0.5000 0.0000 0.6986  2 Fe 2.01
O 0.5000 0.5000 0.0000  2 Fe 1.99

Properties
ρ   5.8 Mg/m³
Symmetry   No. 123
Total magnetization   9.0 μB/f.u.
Final energy   -62.79 eV/f.u.